DFT (PBE) results for crystalline Li2ReAg at its relaxed geometry.

a = 4.974 Å, b = 4.974 Å, c = 5.027 Å
α = 83.99°, β = 83.99°, γ = 29.96°
Each line ends with the local moment (μB).
Sites, in units of the cell vectors:
Li: 0.005 0.005 0.007  0.00
Li: 0.246 0.246 0.247  0.00
Re: 0.498 0.498 0.510  0.27
Ag: 0.750 0.750 0.737  0.02

Excess energy over the best structure of this formula in the dataset (meV/atom): 273
Calculated formation energy (eV per atom): 0.402